Cd3TeO PBE relaxed; space group = No. 221; energy relative to the elements, uncorrected = 716 meV/atom
1.0
5.691 0.000 0.000
0.000 5.691 0.000
0.000 0.000 5.691
Te O Cd
1 1 3
Cartesian
0.000 0.000 0.000
2.845 2.845 2.845
0.000 2.845 0.000
0.000 0.000 2.845
2.845 0.000 0.000